! LiCaSi2Au5 (GGA-PBE, relaxed); values from VASP
! E ... -3.754 eV per atom
! D(E_F) ... 1.93 states/eV/f.u.
! Crystal system ... tetragonal
! Mass density ... 9.31 g/cm3
&SYSTEM
  ibrav = 0, nat = 9, ntyp = 4
/
ATOMIC_SPECIES
Li 6.94 Li.upf
Ca 40.08 Ca.upf
Si 28.09 Si.upf
Au 196.97 Au.upf
CELL_PARAMETERS angstrom
4.719 0.000 0.000
0.000 4.719 0.000
0.000 0.000 8.711
ATOMIC_POSITIONS crystal
Li 0.000 0.000 0.000
Ca 0.000 0.000 0.500
Si 0.500 0.500 0.226
Si 0.500 0.500 0.774
Au 0.000 0.500 0.170
Au 0.000 0.500 0.830
Au 0.500 0.000 0.170
Au 0.500 0.000 0.830
Au 0.500 0.500 0.500

=====

! LiCaSiAu (GGA-PBE, relaxed); values from VASP
! E ... -3.587 eV per atom
! D(E_F) ... 0.11 states/eV/f.u.
! Crystal system ... cubic
! Mass density ... 6.32 g/cm3
&SYSTEM
  ibrav = 0, nat = 4, ntyp = 4
/
ATOMIC_SPECIES
Li 6.94 Li.upf
Ca 40.08 Ca.upf
Si 28.09 Si.upf
Au 196.97 Au.upf
CELL_PARAMETERS angstrom
0.000 3.294 3.294
3.294 0.000 3.294
3.294 3.294 0.000
ATOMIC_POSITIONS crystal
Li 0.000 0.000 0.000
Ca 0.250 0.250 0.250
Si 0.500 0.500 0.500
Au 0.750 0.750 0.750

=====

! LiCaSi2Au2 (GGA-PBE, relaxed); values from VASP
! E ... -4.069 eV per atom
! D(E_F) ... 2.35 states/eV/f.u.
! Crystal system ... trigonal
! Mass density ... 7.38 g/cm3
&SYSTEM
  ibrav = 0, nat = 6, ntyp = 4
/
ATOMIC_SPECIES
Li 6.94 Li.upf
Ca 40.08 Ca.upf
Si 28.09 Si.upf
Au 196.97 Au.upf
CELL_PARAMETERS angstrom
4.324 0.000 0.000
-2.162 3.744 0.000
0.000 0.000 6.908
ATOMIC_POSITIONS crystal
Li 0.000 0.000 0.000
Ca 0.000 0.000 0.500
Si 0.333 0.667 0.203
Si 0.667 0.333 0.797
Au 0.333 0.667 0.805
Au 0.667 0.333 0.195

=====

! LiCaSmAu (GGA-PBE, relaxed); values from VASP
! D(E_F) ... 2.77 states/eV/f.u.
! Crystal system ... cubic
! Energy of formation from the pure elements ... -0.397 eV/atom
! Mass density ... 6.60 g/cm3
&SYSTEM
  ibrav = 0, nat = 4, ntyp = 4
/
ATOMIC_SPECIES
Li 6.94 Li.upf
Ca 40.08 Ca.upf
Sm 150.36 Sm.upf
Au 196.97 Au.upf
CELL_PARAMETERS angstrom
0.000 3.675 3.675
3.675 0.000 3.675
3.675 3.675 0.000
ATOMIC_POSITIONS crystal
Li 0.000 0.000 0.000
Ca 0.750 0.750 0.750
Sm 0.250 0.250 0.250
Au 0.500 0.500 0.500

=====

! Li2CaSmAu2 (GGA-PBE, relaxed); values from VASP
! D(E_F) ... 5.38 states/eV/f.u.
! Crystal system ... trigonal
! Energy of formation from the pure elements ... -0.531 eV/atom
! Mass density ... 7.35 g/cm3
&SYSTEM
  ibrav = 0, nat = 6, ntyp = 4
/
ATOMIC_SPECIES
Li 6.94 Li.upf
Ca 40.08 Ca.upf
Sm 150.36 Sm.upf
Au 196.97 Au.upf
CELL_PARAMETERS angstrom
4.537 0.000 0.000
-2.268 3.929 0.000
0.000 0.000 7.585
ATOMIC_POSITIONS crystal
Li 0.333 0.667 0.242
Li 0.667 0.333 0.758
Ca 0.000 0.000 0.000
Sm 0.000 0.000 0.500
Au 0.333 0.667 0.737
Au 0.667 0.333 0.263

=====

! LiCa2SmAu4 (GGA-PBE, relaxed); values from VASP
! D(E_F) ... 4.75 states/eV/f.u.
! Crystal system ... trigonal
! Energy of formation from the pure elements ... -0.708 eV/atom
! Mass density ... 9.26 g/cm3
&SYSTEM
  ibrav = 0, nat = 8, ntyp = 4
/
ATOMIC_SPECIES
Li 6.94 Li.upf
Ca 40.08 Ca.upf
Sm 150.36 Sm.upf
Au 196.97 Au.upf
CELL_PARAMETERS angstrom
2.533 1.462 8.271
-2.533 1.462 8.271
0.000 -2.925 8.271
ATOMIC_POSITIONS crystal
Li 0.000 0.000 0.000
Ca 0.257 0.257 0.257
Ca 0.743 0.743 0.743
Sm 0.500 0.500 0.500
Au 0.128 0.128 0.128
Au 0.378 0.378 0.378
Au 0.622 0.622 0.622
Au 0.872 0.872 0.872

=====

- Which formula does entry 5 have?
  Li2CaSmAu2

=====

What did the sixth record say?
! LiCa2SmAu4 (GGA-PBE, relaxed); values from VASP
! D(E_F) ... 4.75 states/eV/f.u.
! Crystal system ... trigonal
! Energy of formation from the pure elements ... -0.708 eV/atom
! Mass density ... 9.26 g/cm3
&SYSTEM
  ibrav = 0, nat = 8, ntyp = 4
/
ATOMIC_SPECIES
Li 6.94 Li.upf
Ca 40.08 Ca.upf
Sm 150.36 Sm.upf
Au 196.97 Au.upf
CELL_PARAMETERS angstrom
2.533 1.462 8.271
-2.533 1.462 8.271
0.000 -2.925 8.271
ATOMIC_POSITIONS crystal
Li 0.000 0.000 0.000
Ca 0.257 0.257 0.257
Ca 0.743 0.743 0.743
Sm 0.500 0.500 0.500
Au 0.128 0.128 0.128
Au 0.378 0.378 0.378
Au 0.622 0.622 0.622
Au 0.872 0.872 0.872

=====

- The highest D(E_F) belongs to which entry?
  Li2CaSmAu2

=====

- Among the records above, which one has the highest mass density?
  LiCaSi2Au5